# 1
Computed, not measured: crystalline TlIn2Rh at its relaxed geometry at the PBE level of DFT.

Geometry as CIF:
```
data_TlIn2Rh
_chemical_formula_sum 'Tl1 In2 Rh1'
_cell_length_a 5.1059
_cell_length_b 5.1059
_cell_length_c 3.3360
_cell_angle_alpha 90.00
_cell_angle_beta 90.00
_cell_angle_gamma 90.00
_symmetry_space_group_name_H-M 'P 4/m m m'
_symmetry_Int_Tables_number 123
_symmetry_space_group_name_Hall '-P 4 2'
loop_
_atom_site_label
_atom_site_type_symbol
_atom_site_fract_x
_atom_site_fract_y
_atom_site_fract_z
_atom_site_occupancy
Tl1 Tl 0.0000 0.0000 0.0000 1
In1 In 0.0000 0.5000 0.5000 1
Rh1 Rh 0.5000 0.5000 0.0000 1
```

excess energy over the best structure of this formula in the dataset: 296 meV per atom
M_tot: 0.0 μB/f.u.
energy relative to the elements: 0.160 eV per atom

***

# 2
Computed, not measured: crystalline ZrZn2Mo at its relaxed geometry at the PBE level of DFT.

Geometry as CIF:
```
data_ZrZn2Mo
_chemical_formula_sum 'Zr4 Zn8 Mo4'
_cell_length_a 3.8615
_cell_length_b 3.8615
_cell_length_c 19.8936
_cell_angle_alpha 90.00
_cell_angle_beta 90.00
_cell_angle_gamma 90.00
_symmetry_space_group_name_H-M 'I -4 2 d'
_symmetry_Int_Tables_number 122
_symmetry_space_group_name_Hall 'I -4 2bw'
loop_
_atom_site_label
_atom_site_type_symbol
_atom_site_fract_x
_atom_site_fract_y
_atom_site_fract_z
_atom_site_occupancy
Zr1 Zr 0.0000 0.0000 0.0000 1
Zn1 Zn 0.2171 0.2500 0.6250 1
Mo1 Mo 0.0000 0.0000 0.5000 1
```

excess energy over the best structure of this formula in the dataset: 511 meV per atom
M_tot: 0.0 μB/f.u.
energy relative to the elements: 0.418 eV per atom

***

# 3
Computed, not measured: crystalline SrMn2Re at its relaxed geometry at the PBE level of DFT.

Geometry as CIF:
```
data_SrMn2Re
_chemical_formula_sum 'Sr1 Mn2 Re1'
_cell_length_a 3.0580
_cell_length_b 3.0580
_cell_length_c 7.8833
_cell_angle_alpha 90.00
_cell_angle_beta 90.00
_cell_angle_gamma 90.00
_symmetry_space_group_name_H-M 'P 4 m m'
_symmetry_Int_Tables_number 99
_symmetry_space_group_name_Hall 'P 4 -2'
loop_
_atom_site_label
_atom_site_type_symbol
_atom_site_fract_x
_atom_site_fract_y
_atom_site_fract_z
_atom_site_occupancy
Sr1 Sr 0.0000 0.0000 0.0000 1
Mn1 Mn 0.0000 0.0000 0.5319 1
Mn2 Mn 0.5000 0.5000 0.3398 1
Re1 Re 0.5000 0.5000 0.6880 1
```

excess energy over the best structure of this formula in the dataset: 41 meV per atom
M_tot: 4.9 μB/f.u.
energy relative to the elements: 0.596 eV per atom

***

# 4
Computed, not measured: crystalline Tl3Cd2Br8 at its relaxed geometry at the PBE level of DFT.

Geometry as CIF:
```
data_Tl3Cd2Br8
_chemical_formula_sum 'Tl9 Cd6 Br24'
_cell_length_a 8.1796
_cell_length_b 8.1796
_cell_length_c 25.8067
_cell_angle_alpha 90.00
_cell_angle_beta 90.00
_cell_angle_gamma 120.00
_symmetry_space_group_name_H-M 'R -3 m'
_symmetry_Int_Tables_number 166
_symmetry_space_group_name_Hall '-R 3 2"'
loop_
_atom_site_label
_atom_site_type_symbol
_atom_site_fract_x
_atom_site_fract_y
_atom_site_fract_z
_atom_site_occupancy
Tl1 Tl 0.0000 0.0000 0.0000 1
Tl2 Tl 0.0000 0.0000 0.1901 1
Cd1 Cd 0.0000 0.0000 0.4069 1
Br1 Br 0.0000 0.0000 0.3053 1
Br2 Br 0.0240 0.5120 0.7671 1
```

energy relative to the elements, uncorrected: -0.70 eV/atom
M_tot: 0.0 μB/f.u.

***

# 5
Computed, not measured: crystalline YBe2In4 at its relaxed geometry at the PBE level of DFT.

Geometry as CIF:
```
data_YBe2In4
_chemical_formula_sum 'Y2 Be4 In8'
_cell_length_a 5.7946
_cell_length_b 5.7946
_cell_length_c 13.0762
_cell_angle_alpha 90.00
_cell_angle_beta 90.00
_cell_angle_gamma 90.00
_symmetry_space_group_name_H-M 'I 4/m m m'
_symmetry_Int_Tables_number 139
_symmetry_space_group_name_Hall '-I 4 2'
loop_
_atom_site_label
_atom_site_type_symbol
_atom_site_fract_x
_atom_site_fract_y
_atom_site_fract_z
_atom_site_occupancy
Y1 Y 0.0000 0.0000 0.0000 1
Be1 Be 0.0000 0.0000 0.4223 1
In1 In 0.0000 0.0000 0.2368 1
In2 In 0.0000 0.5000 0.0000 1
```

M_tot: 0.0 μB/f.u.
energy relative to the elements: 0.725 eV per atom

***

# 6
Computed, not measured: crystalline In2OsSe at its relaxed geometry at the PBE level of DFT.

Geometry as CIF:
```
data_In2OsSe
_chemical_formula_sum 'In4 Os2 Se2'
_cell_length_a 10.0694
_cell_length_b 3.1254
_cell_length_c 6.2529
_cell_angle_alpha 90.00
_cell_angle_beta 113.18
_cell_angle_gamma 90.00
_symmetry_space_group_name_H-M 'C 1 m 1'
_symmetry_Int_Tables_number 8
_symmetry_space_group_name_Hall 'C -2y'
loop_
_atom_site_label
_atom_site_type_symbol
_atom_site_fract_x
_atom_site_fract_y
_atom_site_fract_z
_atom_site_occupancy
In1 In 0.0000 0.0000 0.0000 1
In2 In 0.1683 0.0000 0.6181 1
Os1 Os 0.4346 0.0000 0.5979 1
Se1 Se 0.3276 0.5000 0.2728 1
```

energy relative to the elements, uncorrected: 0.13 eV/atom
M_tot: 0.0 μB/f.u.

***

# 7
Computed, not measured: crystalline Nd12SmY5 at its relaxed geometry at the PBE level of DFT.

Geometry as CIF:
```
data_Nd12SmY5
_chemical_formula_sum 'Nd24 Sm2 Y10'
_cell_length_a 15.4510
_cell_length_b 15.4955
_cell_length_c 5.1674
_cell_angle_alpha 90.00
_cell_angle_beta 90.00
_cell_angle_gamma 90.00
_symmetry_space_group_name_H-M 'C m m m'
_symmetry_Int_Tables_number 65
_symmetry_space_group_name_Hall '-C 2 2'
loop_
_atom_site_label
_atom_site_type_symbol
_atom_site_fract_x
_atom_site_fract_y
_atom_site_fract_z
_atom_site_occupancy
Nd1 Nd 0.1663 0.0000 0.0000 1
Nd2 Nd 0.1662 0.1666 0.5000 1
Nd3 Nd 0.1659 0.3334 0.0000 1
Nd4 Nd 0.1655 0.5000 0.5000 1
Sm1 Sm 0.0000 0.0000 0.5000 1
Y1 Y 0.0000 0.1668 0.0000 1
Y2 Y 0.0000 0.3332 0.5000 1
Y3 Y 0.0000 0.5000 0.0000 1
```

M_tot: 0.0 μB/f.u.
energy relative to the elements: 0.016 eV per atom

***

# 8
Computed, not measured: crystalline BeIn at its relaxed geometry at the PBE level of DFT.

Geometry as CIF:
```
data_BeIn
_chemical_formula_sum 'Be6 In6'
_cell_length_a 3.1456
_cell_length_b 3.1456
_cell_length_c 24.9523
_cell_angle_alpha 90.00
_cell_angle_beta 90.00
_cell_angle_gamma 120.00
_symmetry_space_group_name_H-M 'R -3 m'
_symmetry_Int_Tables_number 166
_symmetry_space_group_name_Hall '-R 3 2"'
loop_
_atom_site_label
_atom_site_type_symbol
_atom_site_fract_x
_atom_site_fract_y
_atom_site_fract_z
_atom_site_occupancy
Be1 Be 0.0000 0.0000 0.1378 1
In1 In 0.0000 0.0000 0.3885 1
```

excess energy over the best structure of this formula in the dataset: 252 meV per atom
M_tot: 0.0 μB/f.u.
energy relative to the elements: 0.538 eV per atom

***

# 9
Computed, not measured: crystalline NiTeW at its relaxed geometry at the PBE level of DFT.

Geometry as CIF:
```
data_NiTeW
_chemical_formula_sum 'Ni4 Te4 W4'
_cell_length_a 6.1681
_cell_length_b 6.1681
_cell_length_c 6.1681
_cell_angle_alpha 90.00
_cell_angle_beta 90.00
_cell_angle_gamma 90.00
_symmetry_space_group_name_H-M 'F -4 3 m'
_symmetry_Int_Tables_number 216
_symmetry_space_group_name_Hall 'F -4 2 3'
loop_
_atom_site_label
_atom_site_type_symbol
_atom_site_fract_x
_atom_site_fract_y
_atom_site_fract_z
_atom_site_occupancy
Ni1 Ni 0.0000 0.0000 0.0000 1
Te1 Te 0.0000 0.0000 0.5000 1
W1 W 0.2500 0.2500 0.7500 1
```

energy relative to the elements, uncorrected: 0.68 eV/atom
excess energy over the best structure of this formula in the dataset: 195 meV per atom
M_tot: 1.1 μB/f.u.

***

# 10
Computed, not measured: crystalline CsGeB at its relaxed geometry at the PBE level of DFT.

Geometry as CIF:
```
data_CsGeB
_chemical_formula_sum 'Cs4 Ge4 B4'
_cell_length_a 11.5588
_cell_length_b 4.8821
_cell_length_c 6.8969
_cell_angle_alpha 90.00
_cell_angle_beta 91.78
_cell_angle_gamma 90.00
_symmetry_space_group_name_H-M 'P 1 21/c 1'
_symmetry_Int_Tables_number 14
_symmetry_space_group_name_Hall '-P 2ybc'
loop_
_atom_site_label
_atom_site_type_symbol
_atom_site_fract_x
_atom_site_fract_y
_atom_site_fract_z
_atom_site_occupancy
Cs1 Cs 0.2282 0.0245 0.2168 1
Ge1 Ge 0.4306 0.5337 0.3476 1
B1 B 0.4904 0.6445 0.0643 1
```

M_tot: 0.0 μB/f.u.
energy relative to the elements: 0.208 eV per atom

***

# 11
Computed, not measured: crystalline Cs2UTe3Se12 at its relaxed geometry at the PBE level of DFT.

Geometry as CIF:
```
data_Cs2UTe3Se12
_chemical_formula_sum 'Cs6 U3 Te9 Se36'
_cell_length_a 9.5926
_cell_length_b 9.5926
_cell_length_c 24.8664
_cell_angle_alpha 90.00
_cell_angle_beta 90.00
_cell_angle_gamma 120.00
_symmetry_space_group_name_H-M 'R -3 m'
_symmetry_Int_Tables_number 166
_symmetry_space_group_name_Hall '-R 3 2"'
loop_
_atom_site_label
_atom_site_type_symbol
_atom_site_fract_x
_atom_site_fract_y
_atom_site_fract_z
_atom_site_occupancy
Cs1 Cs 0.0000 0.0000 0.1450 1
U1 U 0.0000 0.0000 0.5000 1
Te1 Te 0.0000 0.5000 0.0000 1
Se1 Se 0.0464 0.5232 0.6498 1
Se2 Se 0.0550 0.5275 0.1095 1
```

energy relative to the elements, uncorrected: -0.34 eV/atom
M_tot: 0.0 μB/f.u.

***

# 12
Computed, not measured: crystalline Ba2Sn13 at its relaxed geometry at the PBE level of DFT.

Geometry as CIF:
```
data_Ba2Sn13
_chemical_formula_sum 'Ba6 Sn39'
_cell_length_a 8.9746
_cell_length_b 8.9746
_cell_length_c 22.8347
_cell_angle_alpha 90.00
_cell_angle_beta 90.00
_cell_angle_gamma 120.00
_symmetry_space_group_name_H-M 'R -3 m'
_symmetry_Int_Tables_number 166
_symmetry_space_group_name_Hall '-R 3 2"'
loop_
_atom_site_label
_atom_site_type_symbol
_atom_site_fract_x
_atom_site_fract_y
_atom_site_fract_z
_atom_site_occupancy
Ba1 Ba 0.0000 0.0000 0.2359 1
Sn1 Sn 0.0000 0.0000 0.0000 1
Sn2 Sn 0.0775 0.5387 0.7719 1
Sn3 Sn 0.0994 0.5497 0.0556 1
```

M_tot: 0.0 μB/f.u.
energy relative to the elements: -0.060 eV per atom